[1]
Compound: Co4AsOs
Source: Alexandria
Functional: SCAN
Structure: PBEsol geometry

- Uncorrected energy: -26.448 eV/atom
- Formation energy from the elements: 434 meV/atom
- Magnetization: 8.81 μB per formula unit

CIF file:
```
data_Co4AsOs
_chemical_formula_sum 'Co16 As4 Os4'
_space_group_name_H-M_alt 'F -4 3 m'
_space_group_IT_number 216
_space_group_name_Hall 'F -4 2 3'
_cell_length_a 6.5891
_cell_length_b 6.5891
_cell_length_c 6.5891
_cell_angle_alpha 90.00
_cell_angle_beta 90.00
_cell_angle_gamma 90.00
loop_
_atom_site_label
_atom_site_type_symbol
_atom_site_fract_x
_atom_site_fract_y
_atom_site_fract_z
Co1 Co 0.1251 0.1251 0.1251
As1 As 0.2500 0.2500 0.7500
Os1 Os 0.0000 0.0000 0.5000
```

=====

[2]
Compound: CaMnP
Source: Alexandria
Functional: SCAN
Structure: PBEsol geometry

- Uncorrected energy: -13.072 eV/atom
- Formation energy from the elements: -300 meV/atom
- Magnetization: 4.00 μB per formula unit

CIF file:
```
data_CaMnP
_chemical_formula_sum 'Ca4 Mn4 P4'
_space_group_name_H-M_alt 'F -4 3 m'
_space_group_IT_number 216
_space_group_name_Hall 'F -4 2 3'
_cell_length_a 6.1122
_cell_length_b 6.1122
_cell_length_c 6.1122
_cell_angle_alpha 90.00
_cell_angle_beta 90.00
_cell_angle_gamma 90.00
loop_
_atom_site_label
_atom_site_type_symbol
_atom_site_fract_x
_atom_site_fract_y
_atom_site_fract_z
Ca1 Ca 0.0000 0.0000 0.0000
Mn1 Mn 0.2500 0.2500 0.7500
P1 P 0.0000 0.0000 0.5000
```

=====

[3]
Compound: CdAu2Se
Source: Alexandria
Functional: SCAN
Structure: PBEsol geometry

- Uncorrected energy: -47.248 eV/atom
- Formation energy from raw total energies: -0.05 eV/atom
- Magnetization: 0.00 μB per formula unit

CIF file:
```
data_CdAu2Se
_chemical_formula_sum 'Cd3 Au6 Se3'
_space_group_name_H-M_alt 'R 3 m'
_space_group_IT_number 160
_space_group_name_Hall 'R 3 -2"'
_cell_length_a 3.9187
_cell_length_b 3.9187
_cell_length_c 18.6907
_cell_angle_alpha 90.00
_cell_angle_beta 90.00
_cell_angle_gamma 120.00
loop_
_atom_site_label
_atom_site_type_symbol
_atom_site_fract_x
_atom_site_fract_y
_atom_site_fract_z
Cd1 Cd 0.0000 0.0000 0.0000
Au1 Au 0.0000 0.0000 0.2480
Au2 Au 0.0000 0.0000 0.5020
Se1 Se 0.0000 0.0000 0.7575
```

=====

[4]
Compound: MgH2
Source: Alexandria
Functional: SCAN
Structure: PBEsol geometry

- Uncorrected energy: -4.236 eV/atom
- Magnetization: 0.00 μB per formula unit

CIF file:
```
data_MgH2
_chemical_formula_sum 'Mg4 H8'
_space_group_name_H-M_alt 'P b c n'
_space_group_IT_number 60
_cell_length_a 4.4645
_cell_length_b 5.3947
_cell_length_c 4.8979
_cell_angle_alpha 90.00
_cell_angle_beta 90.00
_cell_angle_gamma 90.00
loop_
_space_group_symop_operation_xyz
'x,y,z'
'-x,-y,-z'
'-x+1/2,-y+1/2,z+1/2'
'x+1/2,y+1/2,-z+1/2'
'x+1/2,-y+1/2,-z'
'-x+1/2,y+1/2,z'
'-x,y,-z+1/2'
'x,-y,z+1/2'
loop_
_atom_site_label
_atom_site_type_symbol
_atom_site_fract_x
_atom_site_fract_y
_atom_site_fract_z
Mg1 Mg 0.0000 0.1691 0.2500
H1 H 0.2301 0.1062 0.5792
```

=====

[5]
Compound: AlAg2Mo
Source: Alexandria
Functional: SCAN
Structure: PBEsol geometry

- Uncorrected energy: -26.132 eV/atom
- Formation energy from the elements: 210 meV/atom
- Magnetization: 0.00 μB per formula unit

CIF file:
```
data_AlAg2Mo
_chemical_formula_sum 'Al2 Ag4 Mo2'
_space_group_name_H-M_alt 'C 1 m 1'
_space_group_IT_number 8
_cell_length_a 10.2173
_cell_length_b 2.6827
_cell_length_c 5.1425
_cell_angle_alpha 90.00
_cell_angle_beta 116.29
_cell_angle_gamma 90.00
loop_
_space_group_symop_operation_xyz
'x,y,z'
'x,-y,z'
'x+1/2,y+1/2,z'
'x+1/2,-y+1/2,z'
loop_
_atom_site_label
_atom_site_type_symbol
_atom_site_fract_x
_atom_site_fract_y
_atom_site_fract_z
Al1 Al 0.0000 0.0000 0.0000
Ag1 Ag 0.2389 0.5000 0.4204
Ag2 Ag 0.4993 0.0000 0.5217
Mo1 Mo 0.2592 0.0000 0.9439
```

=====

[6]
Compound: Sr2FeW
Source: Alexandria
Functional: SCAN
Structure: PBEsol geometry

- Uncorrected energy: -32.221 eV/atom
- Formation energy from the elements: 871 meV/atom
- Magnetization: 1.24 μB per formula unit

CIF file:
```
data_Sr2FeW
_chemical_formula_sum 'Sr4 Fe2 W2'
_space_group_name_H-M_alt 'I m m 2'
_space_group_IT_number 44
_cell_length_a 3.5056
_cell_length_b 5.4050
_cell_length_c 10.6682
_cell_angle_alpha 90.00
_cell_angle_beta 90.00
_cell_angle_gamma 90.00
loop_
_space_group_symop_operation_xyz
'x,y,z'
'-x,-y,z'
'-x,y,z'
'x,-y,z'
'x+1/2,y+1/2,z+1/2'
'-x+1/2,-y+1/2,z+1/2'
'-x+1/2,y+1/2,z+1/2'
'x+1/2,-y+1/2,z+1/2'
loop_
_atom_site_label
_atom_site_type_symbol
_atom_site_fract_x
_atom_site_fract_y
_atom_site_fract_z
Sr1 Sr 0.0000 0.0000 0.0000
Sr2 Sr 0.0000 0.5000 0.2051
Fe1 Fe 0.0000 0.0000 0.4345
W1 W 0.0000 0.5000 0.8063
```